Here is a relaxed MnGe3As crystal from Alexandria via LeMat-Bulk. Energies are from PBE-GGA.

As for the formation energy: 0.39 eV per atom.

The structure in CIF format:
```
data_MnGe3As
_chemical_formula_sum 'Mn1 Ge3 As1'
_space_group_name_H-M_alt 'P m -3 m'
_space_group_IT_number 221
_space_group_name_Hall '-P 4 2 3'
_cell_length_a 4.6671
_cell_length_b 4.6671
_cell_length_c 4.6671
_cell_angle_alpha 90.00
_cell_angle_beta 90.00
_cell_angle_gamma 90.00
loop_
_atom_site_label
_atom_site_type_symbol
_atom_site_fract_x
_atom_site_fract_y
_atom_site_fract_z
Mn1 Mn 0.0000 0.0000 0.0000
Ge1 Ge 0.0000 0.0000 0.5000
As1 As 0.5000 0.5000 0.5000
```